Compound: Na3MgU3N8
Source: Alexandria via LeMat-Bulk
Functional: GGA-PBE
Structure: relaxed

Values from the calculation:
As for the crystal system: trigonal. For the total DFT energy (no corrections), the calculation gives -7.899 eV/atom. The calculation puts the density of states at the Fermi level at 0.33 states/eV per atom. For the formation energy without anion corrections, the calculation gives -831 meV per atom. Its space group is R-3m (166).

Cell lengths 6.8717, 6.8717, 6.8717 Å; angles 60.23, 60.23, 60.23 degrees
Closest atoms and distances in Å follow each position.
Fractional positions:
Na 0.0000 0.5000 0.5000  6 N 2.64-2.76
Na 0.5000 0.0000 0.5000  6 N 2.64-2.76
Na 0.5000 0.5000 0.0000  6 N 2.64-2.76
Mg 0.5000 0.5000 0.5000  6 N 2.30
U 0.0000 0.0000 0.5000  6 N 2.16-2.26
U 0.0000 0.5000 0.0000  6 N 2.16-2.26
U 0.5000 0.0000 0.0000  6 N 2.16-2.26
N 0.2050 0.7320 0.7320  2 U 2.16, 1 Mg 2.30
N 0.2304 0.2304 0.2304  3 U 2.26
N 0.2680 0.2680 0.7950  2 U 2.16, 1 Mg 2.30
N 0.2680 0.7950 0.2680  2 U 2.16, 1 Mg 2.30
N 0.7320 0.2050 0.7320  2 U 2.16, 1 Mg 2.30
N 0.7320 0.7320 0.2050  2 U 2.16, 1 Mg 2.30
N 0.7696 0.7696 0.7696  3 U 2.26
N 0.7950 0.2680 0.2680  2 U 2.16, 1 Mg 2.30

Compound: NaMgUN3
Source: Alexandria via LeMat-Bulk
Functional: GGA-PBE
Structure: relaxed

Values from the calculation:
As for the crystal system: monoclinic. For the total DFT energy (no corrections), the calculation gives -7.375 eV/atom. For the formation energy without anion corrections, the calculation gives -846 meV per atom. Its space group is P2_1/m (11).

Cell lengths 6.6948, 3.5836, 9.3449 Å; angles 90.00, 106.55, 90.00 degrees
Closest atoms and distances in Å follow each position.
Fractional positions:
Na 0.0658 0.2500 0.3686  5 N 2.63-2.68
Na 0.9342 0.7500 0.6314  5 N 2.63-2.68
Mg 0.3861 0.2500 0.8943  4 N 2.09-2.14
Mg 0.6139 0.7500 0.1057  4 N 2.09-2.14
U 0.4364 0.7500 0.6433  4 N 2.05-2.25
U 0.5636 0.2500 0.3567  4 N 2.05-2.25
N 0.2410 0.2500 0.6582  1 Mg 2.14, 2 U 2.25
N 0.3732 0.7500 0.4038  3 U 2.16-2.31
N 0.4639 0.2500 0.1275  1 U 2.05, 3 Mg 2.09
N 0.5361 0.7500 0.8725  1 U 2.05, 3 Mg 2.09
N 0.6268 0.2500 0.5962  3 U 2.16-2.31
N 0.7590 0.7500 0.3418  1 Mg 2.14, 2 U 2.25

Compound: NaMg2WN4
Source: Alexandria via LeMat-Bulk
Functional: GGA-PBE
Structure: relaxed

Values from the calculation:
As for the crystal system: orthorhombic. For the total DFT energy (no corrections), the calculation gives -6.876 eV/atom. The calculation puts the density of states at the Fermi level at 0.47 states/eV per atom. For the formation energy without anion corrections, the calculation gives -531 meV per atom. Its space group is Pmn2_1 (31).

Cell lengths 7.1858, 5.8803, 5.4794 Å; angles 90.00, 90.00, 90.00 degrees
Closest atoms and distances in Å follow each position.
Fractional positions:
Na 0.0000 0.1707 0.0000  4 N 2.38-2.52
Na 0.5000 0.8293 0.5000  4 N 2.38-2.52
Mg 0.2462 0.3293 0.5137  4 N 2.10-2.13
Mg 0.2538 0.6707 0.0137  4 N 2.10-2.13
Mg 0.7462 0.6707 0.0137  4 N 2.10-2.13
Mg 0.7538 0.3293 0.5137  4 N 2.10-2.13
W 0.0000 0.8134 0.5201  4 N 1.87-1.91
W 0.5000 0.1866 0.0201  4 N 1.87-1.91
N 0.0000 0.1328 0.4583  1 W 1.91, 2 Mg 2.13
N 0.0000 0.7753 0.8592  1 W 1.87
N 0.2090 0.6647 0.3922  1 W 1.87
N 0.2910 0.3353 0.8922  1 W 1.87
N 0.5000 0.2247 0.3592  1 W 1.87
N 0.5000 0.8672 0.9583  1 W 1.91, 2 Mg 2.13
N 0.7090 0.3353 0.8922  1 W 1.87
N 0.7910 0.6647 0.3922  1 W 1.87

Compound: MgNbN2
Source: Alexandria via LeMat-Bulk
Functional: GGA-PBE
Structure: relaxed

Values from the calculation:
As for the crystal system: trigonal. For the total DFT energy (no corrections), the calculation gives -7.919 eV/atom. The calculation puts the density of states at the Fermi level at 0.39 states/eV per atom. For the formation energy without anion corrections, the calculation gives -840 meV per atom. Its space group is R3m (160).

Cell lengths 5.7216, 5.7216, 5.7216 Å; angles 30.98, 30.98, 30.98 degrees
Closest atoms and distances in Å follow each position.
Fractional positions:
Mg 0.0000 0.0000 0.0000  6 N 2.20-2.33
Nb 0.1727 0.1727 0.1727  6 N 2.19
N 0.5859 0.5859 0.5859  3 Nb 2.19, 3 Mg 2.20
N 0.7601 0.7601 0.7601  3 Nb 2.19, 3 Mg 2.33

Compound: MgNb2N4
Source: Alexandria via LeMat-Bulk
Functional: GGA-PBE
Structure: relaxed

Values from the calculation:
As for the crystal system: monoclinic. For the total DFT energy (no corrections), the calculation gives -8.659 eV/atom. The calculation puts the density of states at the Fermi level at 0.00 states/eV per atom. For the formation energy without anion corrections, the calculation gives -796 meV per atom. Its space group is C2/m (12).

Cell lengths 5.9705, 5.9705, 5.3619 Å; angles 116.10, 116.10, 30.30 degrees
Closest atoms and distances in Å follow each position.
Fractional positions:
Mg 0.0000 0.0000 0.0000  6 N 2.22-2.28
Nb 0.2899 0.2899 0.2856  3 N 1.98-2.00
Nb 0.7101 0.7101 0.7144  3 N 1.98-2.00
N 0.1356 0.1356 0.4567  2 Nb 2.00, 1 Mg 2.22
N 0.3574 0.3574 0.0063  1 Nb 1.98
N 0.6426 0.6426 0.9937  1 Nb 1.98
N 0.8644 0.8644 0.5433  2 Nb 2.00, 1 Mg 2.22

Compound: MgNb6N
Source: Alexandria via LeMat-Bulk
Functional: GGA-PBE
Structure: relaxed

Values from the calculation:
As for the crystal system: triclinic. For the total DFT energy (no corrections), the calculation gives -8.959 eV/atom. The calculation puts the density of states at the Fermi level at 0.96 states/eV per atom. For the formation energy without anion corrections, the calculation gives -167 meV per atom. Its space group is P-1 (2).

Cell lengths 4.9102, 5.4431, 5.4978 Å; angles 97.54, 109.35, 92.69 degrees
Closest atoms and distances in Å follow each position.
Fractional positions:
Mg 0.0000 0.0000 0.0000  8 Nb 2.82-3.03
Nb 0.0947 0.5876 0.2700  1 N 2.09
Nb 0.3075 0.1470 0.5735  1 N 2.24
Nb 0.4423 0.6982 0.8539  1 N 2.21
Nb 0.5577 0.3018 0.1461  1 N 2.21
Nb 0.6925 0.8530 0.4265  1 N 2.24
Nb 0.9053 0.4124 0.7300  1 N 2.09
N 0.5000 0.5000 0.5000  6 Nb 2.09-2.24

Compound: Mg3NbN4
Source: Alexandria via LeMat-Bulk
Functional: GGA-PBE
Structure: relaxed

Values from the calculation:
As for the crystal system: orthorhombic. For the total DFT energy (no corrections), the calculation gives -6.758 eV/atom. The calculation puts the density of states at the Fermi level at 0.51 states/eV per atom. For the formation energy without anion corrections, the calculation gives -739 meV per atom. Its space group is Pmn2_1 (31).

Cell lengths 8.8463, 4.4250, 4.3874 Å; angles 90.00, 90.00, 90.00 degrees
Closest atoms and distances in Å follow each position.
Fractional positions:
Mg 0.0000 0.2431 0.0000  6 N 2.17-2.34
Mg 0.2500 0.2476 0.5029  6 N 2.19-2.25
Mg 0.2500 0.7524 0.0029  6 N 2.19-2.25
Mg 0.5000 0.7569 0.5000  6 N 2.17-2.34
Mg 0.7500 0.2476 0.5029  6 N 2.19-2.25
Mg 0.7500 0.7524 0.0029  6 N 2.19-2.25
Nb 0.0000 0.7193 0.4826  4 N 2.01-2.09
Nb 0.5000 0.2807 0.9826  4 N 2.01-2.09
N 0.0000 0.2652 0.5060  1 Nb 2.01, 4 Mg 2.17-2.22
N 0.0000 0.7519 0.0140  1 Nb 2.06, 4 Mg 2.17-2.25
N 0.2350 0.7544 0.5057  1 Nb 2.09, 4 Mg 2.19-2.25
N 0.2650 0.2456 0.0057  1 Nb 2.09, 4 Mg 2.19-2.25
N 0.5000 0.2481 0.5140  1 Nb 2.06, 4 Mg 2.17-2.25
N 0.5000 0.7348 0.0060  1 Nb 2.01, 4 Mg 2.17-2.22
N 0.7350 0.2456 0.0057  1 Nb 2.09, 4 Mg 2.19-2.25
N 0.7650 0.7544 0.5057  1 Nb 2.09, 4 Mg 2.19-2.25

Compound: Mg4Nb3N8
Source: Alexandria via LeMat-Bulk
Functional: GGA-PBE
Structure: relaxed

Values from the calculation:
As for the crystal system: trigonal. For the total DFT energy (no corrections), the calculation gives -7.540 eV/atom. The calculation puts the density of states at the Fermi level at 0.34 states/eV per atom. For the formation energy without anion corrections, the calculation gives -660 meV per atom. Its space group is R-3m (166).

Cell lengths 6.5590, 6.5590, 6.5590 Å; angles 56.25, 56.25, 56.25 degrees
Closest atoms and distances in Å follow each position.
Fractional positions:
Mg 0.0000 0.0000 0.0000  6 N 2.20, 2 Mg 2.45
Mg 0.1482 0.1482 0.1482  1 N 1.97
Mg 0.5000 0.5000 0.5000  6 N 2.32
Mg 0.8518 0.8518 0.8518  1 N 1.97
Nb 0.0000 0.5000 0.5000  6 N 2.09-2.14
Nb 0.5000 0.0000 0.5000  6 N 2.09-2.14
Nb 0.5000 0.5000 0.0000  6 N 2.09-2.14
N 0.2446 0.2446 0.7310  2 Nb 2.14, 3 Mg 2.20-2.32
N 0.2446 0.7310 0.2446  2 Nb 2.14, 3 Mg 2.20-2.32
N 0.2677 0.2677 0.2677  1 Mg 1.97, 3 Nb 2.09
N 0.2690 0.7554 0.7554  2 Nb 2.14, 3 Mg 2.20-2.32
N 0.7310 0.2446 0.2446  2 Nb 2.14, 3 Mg 2.20-2.32
N 0.7323 0.7323 0.7323  1 Mg 1.97, 3 Nb 2.09
N 0.7554 0.2690 0.7554  2 Nb 2.14, 3 Mg 2.20-2.32
N 0.7554 0.7554 0.2690  2 Nb 2.14, 3 Mg 2.20-2.32

Compound: Mg3NbN
Source: Alexandria via LeMat-Bulk
Functional: GGA-PBE
Structure: relaxed

Values from the calculation:
As for the crystal system: cubic. For the total DFT energy (no corrections), the calculation gives -2.356 eV/atom. The calculation puts the density of states at the Fermi level at 1.76 states/eV per atom. For the formation energy without anion corrections, the calculation gives 2280 meV per atom. Its space group is Pm-3m (221).

Cell lengths 5.3799, 5.3799, 5.3799 Å; angles 90.00, 90.00, 90.00 degrees
Closest atoms and distances in Å follow each position.
Fractional positions:
Mg 0.0000 0.0000 0.5000  2 Nb 2.69
Mg 0.0000 0.5000 0.0000  2 Nb 2.69
Mg 0.5000 0.0000 0.0000  2 Nb 2.69
Nb 0.0000 0.0000 0.0000  6 Mg 2.69
N 0.5000 0.5000 0.5000  12 Mg 3.80

Compound: Mg3NbN
Source: Alexandria via LeMat-Bulk
Functional: GGA-PBE
Structure: relaxed

Values from the calculation:
As for the crystal system: cubic. For the total DFT energy (no corrections), the calculation gives -4.346 eV/atom. The calculation puts the density of states at the Fermi level at 1.37 states/eV per atom. For the formation energy without anion corrections, the calculation gives 289 meV per atom. Its space group is Pm-3m (221).

Cell lengths 4.3771, 4.3771, 4.3771 Å; angles 90.00, 90.00, 90.00 degrees
Closest atoms and distances in Å follow each position.
Fractional positions:
Mg 0.0000 0.0000 0.5000  2 N 2.19
Mg 0.0000 0.5000 0.0000  2 N 2.19
Mg 0.5000 0.0000 0.0000  2 N 2.19
Nb 0.5000 0.5000 0.5000  12 Mg 3.10
N 0.0000 0.0000 0.0000  6 Mg 2.19

Compound: MgNbN2
Source: Alexandria via LeMat-Bulk
Functional: GGA-PBE
Structure: relaxed

Values from the calculation:
As for the crystal system: tetragonal. For the total DFT energy (no corrections), the calculation gives -7.845 eV/atom. The calculation puts the density of states at the Fermi level at 0.79 states/eV per atom. For the formation energy without anion corrections, the calculation gives -766 meV per atom. Its space group is I-42d (122).

Cell lengths 5.8527, 5.8527, 5.8527 Å; angles 131.65, 131.65, 70.79 degrees
Closest atoms and distances in Å follow each position.
Fractional positions:
Mg 0.0000 0.0000 0.0000  4 N 2.13
Mg 0.7500 0.2500 0.5000  4 N 2.13
Nb 0.2500 0.7500 0.5000  4 N 2.02
Nb 0.5000 0.5000 0.0000  4 N 2.02
N 0.1444 0.6250 0.0194  2 Nb 2.02, 2 Mg 2.13
N 0.3750 0.3944 0.5194  2 Nb 2.02, 2 Mg 2.13
N 0.6056 0.1250 0.9806  2 Nb 2.02, 2 Mg 2.13
N 0.8750 0.8556 0.4806  2 Nb 2.02, 2 Mg 2.13

Compound: Mg4NbN4
Source: Alexandria via LeMat-Bulk
Functional: GGA-PBE
Structure: relaxed

Values from the calculation:
As for the crystal system: orthorhombic. For the total DFT energy (no corrections), the calculation gives -6.251 eV/atom. The calculation puts the density of states at the Fermi level at 0.04 states/eV per atom. For the formation energy without anion corrections, the calculation gives -723 meV per atom. Its space group is Cmcm (63).

Cell lengths 5.9179, 5.9179, 6.7430 Å; angles 90.00, 90.00, 80.58 degrees
Closest atoms and distances in Å follow each position.
Fractional positions:
Mg 0.0614 0.6481 0.7500  4 N 2.13-2.19
Mg 0.3454 0.3454 0.0000  4 N 2.10-2.14
Mg 0.3454 0.3454 0.5000  4 N 2.10-2.14
Mg 0.3519 0.9386 0.7500  4 N 2.13-2.19
Mg 0.6481 0.0614 0.2500  4 N 2.13-2.19
Mg 0.6546 0.6546 0.0000  4 N 2.10-2.14
Mg 0.6546 0.6546 0.5000  4 N 2.10-2.14
Mg 0.9386 0.3519 0.2500  4 N 2.13-2.19
Nb 0.1592 0.8408 0.2500  4 N 2.00-2.09
Nb 0.8408 0.1592 0.7500  4 N 2.00-2.09
N 0.1560 0.2748 0.7500  1 Nb 2.09, 4 Mg 2.10-2.19
N 0.2748 0.1560 0.2500  1 Nb 2.09, 4 Mg 2.10-2.19
N 0.2886 0.7114 0.5080  1 Nb 2.00, 4 Mg 2.14-2.19
N 0.2886 0.7114 0.9920  1 Nb 2.00, 4 Mg 2.14-2.19
N 0.7114 0.2886 0.0080  1 Nb 2.00, 4 Mg 2.14-2.19
N 0.7114 0.2886 0.4920  1 Nb 2.00, 4 Mg 2.14-2.19
N 0.7252 0.8440 0.7500  1 Nb 2.09, 4 Mg 2.10-2.19
N 0.8440 0.7252 0.2500  1 Nb 2.09, 4 Mg 2.10-2.19

In the order shown, the computed magnetization values come out to 0.00 0.00 2.04 0.00 0.00 0.00 1.90 0.00 3.98 2.61 0.00 0.00 μB per cell.